Entry 1:
{
  "formula": "TbDy12Tm7",
  "functional": "PBE-GGA",
  "state": "relaxed",
  "e_form_ev_per_atom": 0.33,
  "polymorph_energy_kcal_per_mol_atoms": 0.58,
  "spacegroup": "R-3, No. 148",
  "lattice_angstrom": [[9.228, 5.328, 2.202], [-9.228, 5.328, 2.202], [0.000, -10.656, 2.202]],
  "species": ["Tb", "Dy", "Dy", "Dy", "Dy", "Dy", "Dy", "Dy", "Dy", "Dy", "Dy", "Dy", "Dy", "Tm", "Tm", "Tm", "Tm", "Tm", "Tm", "Tm"],
  "fractional_positions": [[0.000, 0.000, 0.000], [0.001, 0.423, 0.211], [0.211, 0.001, 0.423], [0.232, 0.296, 0.753], [0.247, 0.768, 0.704], [0.296, 0.753, 0.232], [0.423, 0.211, 0.001], [0.577, 0.789, 0.999], [0.704, 0.247, 0.768], [0.753, 0.232, 0.296], [0.768, 0.704, 0.247], [0.789, 0.999, 0.577], [0.999, 0.577, 0.789], [0.131, 0.298, 0.435], [0.298, 0.435, 0.131], [0.435, 0.131, 0.298], [0.500, 0.500, 0.500], [0.565, 0.869, 0.702], [0.702, 0.565, 0.869], [0.869, 0.702, 0.565]]
}


Entry 2:
{
  "formula": "TbDy5Tm5",
  "functional": "PBE-GGA",
  "state": "relaxed",
  "e_form_ev_per_atom": 0.29,
  "polymorph_energy_kcal_per_mol_atoms": 3.19,
  "spacegroup": "C2/m, No. 12",
  "lattice_angstrom": [[9.333, -2.917, 0.000], [9.333, 2.917, 0.000], [-2.502, 0.000, 6.407]],
  "species": ["Tb", "Dy", "Dy", "Dy", "Dy", "Dy", "Tm", "Tm", "Tm", "Tm", "Tm"],
  "fractional_positions": [[0.000, 0.000, 0.000], [0.179, 0.179, 0.425], [0.179, 0.179, 0.934], [0.500, 0.500, 0.000], [0.821, 0.821, 0.066], [0.821, 0.821, 0.575], [0.000, 0.000, 0.500], [0.331, 0.331, 0.830], [0.377, 0.377, 0.375], [0.623, 0.623, 0.625], [0.669, 0.669, 0.170]]
}


Entry 3:
{
  "formula": "Tb5Dy2Tm12",
  "functional": "PBE-GGA",
  "state": "relaxed",
  "e_form_ev_per_atom": 0.13,
  "spacegroup": "C2/m, No. 12",
  "lattice_angstrom": [[7.660, -4.586, 0.000], [7.660, 4.586, 0.000], [-0.320, 0.000, 8.469]],
  "species": ["Tb", "Tb", "Tb", "Tb", "Tb", "Dy", "Dy", "Tm", "Tm", "Tm", "Tm", "Tm", "Tm", "Tm", "Tm", "Tm", "Tm", "Tm", "Tm"],
  "fractional_positions": [[0.000, 0.000, 0.000], [0.231, 0.231, 0.072], [0.294, 0.294, 0.481], [0.706, 0.706, 0.519], [0.769, 0.769, 0.928], [0.326, 0.674, 0.500], [0.674, 0.326, 0.500], [0.030, 0.672, 0.259], [0.075, 0.075, 0.373], [0.180, 0.561, 0.834], [0.328, 0.970, 0.741], [0.439, 0.820, 0.166], [0.444, 0.444, 0.166], [0.556, 0.556, 0.834], [0.561, 0.180, 0.834], [0.672, 0.030, 0.259], [0.820, 0.439, 0.166], [0.925, 0.925, 0.627], [0.970, 0.328, 0.741]]
}


Entry 4:
{
  "formula": "TbDy3Tm5",
  "functional": "PBE-GGA",
  "state": "relaxed",
  "e_form_ev_per_atom": 0.08,
  "polymorph_energy_kcal_per_mol_atoms": 0.00,
  "spacegroup": "C2/c, No. 15",
  "lattice_angstrom": [[7.418, -4.802, 0.000], [7.418, 4.802, 0.000], [-4.323, 0.000, 7.711]],
  "species": ["Tb", "Tb", "Dy", "Dy", "Dy", "Dy", "Dy", "Dy", "Tm", "Tm", "Tm", "Tm", "Tm", "Tm", "Tm", "Tm", "Tm", "Tm"],
  "fractional_positions": [[0.084, 0.916, 0.750], [0.916, 0.084, 0.250], [0.000, 0.500, 0.500], [0.168, 0.664, 0.332], [0.336, 0.832, 0.168], [0.500, 0.000, 0.000], [0.664, 0.168, 0.832], [0.832, 0.336, 0.668], [0.083, 0.250, 0.082], [0.250, 0.083, 0.582], [0.250, 0.416, 0.916], [0.416, 0.250, 0.416], [0.417, 0.583, 0.750], [0.583, 0.417, 0.250], [0.584, 0.750, 0.584], [0.750, 0.584, 0.084], [0.750, 0.917, 0.418], [0.917, 0.750, 0.918]]
}


Entry 5:
{
  "formula": "Tb9DyTm2",
  "functional": "PBE-GGA",
  "state": "relaxed",
  "e_form_ev_per_atom": 0.02,
  "polymorph_energy_kcal_per_mol_atoms": 0.00,
  "spacegroup": "P4/mmm, No. 123",
  "lattice_angstrom": [[5.006, 0.000, 0.000], [0.000, 5.006, 0.000], [0.000, 0.000, 15.024]],
  "species": ["Tb", "Tb", "Tb", "Tb", "Tb", "Tb", "Tb", "Tb", "Tb", "Dy", "Tm", "Tm"],
  "fractional_positions": [[0.000, 0.000, 0.000], [0.000, 0.000, 0.334], [0.000, 0.000, 0.666], [0.000, 0.500, 0.168], [0.000, 0.500, 0.500], [0.000, 0.500, 0.832], [0.500, 0.000, 0.168], [0.500, 0.000, 0.500], [0.500, 0.000, 0.832], [0.500, 0.500, 0.000], [0.500, 0.500, 0.334], [0.500, 0.500, 0.666]]
}


Entry 6:
{
  "formula": "Tb6Dy3YTm2",
  "functional": "PBE-GGA",
  "state": "relaxed",
  "e_form_ev_per_atom": 0.02,
  "spacegroup": "C2/m, No. 12",
  "lattice_angstrom": [[3.072, -5.315, 0.000], [3.072, 5.315, 0.000], [-2.036, 0.000, 11.558]],
  "species": ["Tb", "Tb", "Tb", "Tb", "Tb", "Tb", "Dy", "Dy", "Dy", "Y", "Tm", "Tm"],
  "fractional_positions": [[0.082, 0.417, 0.751], [0.249, 0.249, 0.249], [0.417, 0.082, 0.751], [0.583, 0.918, 0.249], [0.751, 0.751, 0.751], [0.918, 0.583, 0.249], [0.000, 0.000, 0.500], [0.333, 0.667, 0.500], [0.667, 0.333, 0.500], [0.500, 0.500, 0.000], [0.167, 0.833, 0.000], [0.833, 0.167, 0.000]]
}